Entry 1:
First-principles (PBE-GGA) data for a geometry-optimized TlIrSeN2 structure, as listed in the Alexandria database.

Output
Formation energy (no corrections), eV per atom: 2.4223
Energy above the most stable polymorph in this dataset, eV/atom: 1.651

abc: 4.0904 4.0904 6.0801
angles: 90.00 90.00 90.00
Positions (direct):
Tl  0.0000  0.0000  0.0000
Ir  0.5000  0.5000  0.5000
Se  0.0000  0.0000  0.5000
N  0.0000  0.5000  0.0000
N  0.5000  0.0000  0.0000

***

Entry 2:
First-principles (PBE-GGA) data for a geometry-optimized Lu2CdBi structure, as listed in the Alexandria database.

Output
Formation energy, eV per atom: -0.38
Energy above the most stable polymorph in this dataset, eV/atom: 0.000

abc: 3.9365 3.9365 6.8267
angles: 90.00 90.00 90.00
Positions (direct):
Lu  0.0000  0.0000  0.2486
Lu  0.0000  0.0000  0.7514
Cd  0.5000  0.5000  0.0000
Bi  0.5000  0.5000  0.5000

***

Entry 3:
First-principles (PBE-GGA) data for a geometry-optimized BaSnRh structure, as listed in the Alexandria database.

Output
Formation energy, eV per atom: -0.59

abc: 6.8470 7.2137 8.6372
angles: 90.00 122.91 90.00
Positions (direct):
Ba  0.2037  0.1398  0.4158
Ba  0.2037  0.3602  0.9158
Ba  0.7963  0.6398  0.0842
Ba  0.7963  0.8602  0.5842
Sn  0.2945  0.6351  0.5898
Sn  0.2945  0.8649  0.0898
Sn  0.7055  0.1351  0.9102
Sn  0.7055  0.3649  0.4102
Rh  0.3722  0.6052  0.3241
Rh  0.3722  0.8948  0.8241
Rh  0.6278  0.1052  0.1759
Rh  0.6278  0.3948  0.6759

***

Entry 4:
First-principles (PBE-GGA) data for a geometry-optimized NaNpTl2I8 structure, as listed in the Alexandria database.

Output
Formation energy (no corrections), eV per atom: -0.7094

abc: 7.3777 8.0419 9.6990
angles: 89.97 89.94 88.55
Positions (direct):
Na  0.0000  0.0000  0.0000
Np  0.0000  0.0000  0.5000
Tl  0.4996  0.5000  0.2366
Tl  0.5004  0.5000  0.7634
I  0.2055  0.6831  0.5003
I  0.2395  0.1291  0.2815
I  0.2391  0.1296  0.7180
I  0.2540  0.6835  0.9999
I  0.7460  0.3165  0.0001
I  0.7609  0.8704  0.2820
I  0.7605  0.8709  0.7185
I  0.7945  0.3169  0.4997

***

Entry 5:
First-principles (PBE-GGA) data for a geometry-optimized TlGa4Sn4 structure, as listed in the Alexandria database.

Output
Formation energy, eV per atom: 0.10

abc: 7.2812 7.2812 9.1735
angles: 90.00 90.00 90.00
Positions (direct):
Tl  0.2500  0.7500  0.2500
Tl  0.7500  0.2500  0.7500
Ga  0.0607  0.2500  0.1409
Ga  0.2500  0.0607  0.6409
Ga  0.2500  0.4393  0.6409
Ga  0.4393  0.2500  0.1409
Ga  0.5607  0.7500  0.8591
Ga  0.7500  0.5607  0.3591
Ga  0.7500  0.9393  0.3591
Ga  0.9393  0.7500  0.8591
Sn  0.0110  0.7500  0.5550
Sn  0.2500  0.5110  0.9450
Sn  0.2500  0.9890  0.9450
Sn  0.4890  0.7500  0.5550
Sn  0.5110  0.2500  0.4450
Sn  0.7500  0.0110  0.0550
Sn  0.7500  0.4890  0.0550
Sn  0.9890  0.2500  0.4450

***

Entry 6:
First-principles (PBE-GGA) data for a geometry-optimized CeSnRh4 structure, as listed in the Alexandria database.

Output
Formation energy, eV per atom: -0.51

abc: 5.3164 5.3164 5.3164
angles: 60.00 60.00 60.00
Positions (direct):
Ce  0.0000  0.0000  0.0000
Sn  0.7500  0.7500  0.7500
Rh  0.3760  0.3760  0.3760
Rh  0.3760  0.3760  0.8719
Rh  0.3760  0.8719  0.3760
Rh  0.8719  0.3760  0.3760

***

Copy entry 2 word for word.
First-principles (PBE-GGA) data for a geometry-optimized Lu2CdBi structure, as listed in the Alexandria database.

Output
Formation energy, eV per atom: -0.38
Energy above the most stable polymorph in this dataset, eV/atom: 0.000

abc: 3.9365 3.9365 6.8267
angles: 90.00 90.00 90.00
Positions (direct):
Lu  0.0000  0.0000  0.2486
Lu  0.0000  0.0000  0.7514
Cd  0.5000  0.5000  0.0000
Bi  0.5000  0.5000  0.5000